Record 1
Here is a relaxed AcSm5Ho2Tm crystal from Alexandria via LeMat-Bulk. Energies are from PBE.

Cell: 5.7786 9.1858 12.1022 Å, 90.00 90.00 108.33°
Last column: nearest neighbours and their distance in Å.
Sites, in units of the cell vectors:
Ac1 0.6149 0.2298 0.9242  2 Ho 3.52, 5 Sm 3.53-3.90, 2 Tm 3.74
Ac2 0.3851 0.7702 0.4242  2 Ho 3.52, 5 Sm 3.53-3.90, 2 Tm 3.74
Sm1 0.4193 0.8387 0.0888  4 Sm 3.50-3.80, 1 Tm 3.54, 4 Ho 3.56-3.69
Sm2 0.7676 0.5352 0.7196  3 Sm 3.15-3.49, 1 Ho 3.22
Sm3 0.4212 0.8424 0.7639  4 Sm 3.50-3.72, 4 Ho 3.53-3.79, 1 Tm 3.54, 1 Ac 3.90
Sm4 0.2320 0.4640 0.6299  2 Sm 3.15, 2 Ho 3.23-3.46
Sm5 0.9395 0.8791 0.5722  3 Ho 3.27-3.57, 1 Sm 3.49, 2 Ac 3.53
Sm6 0.5807 0.1613 0.5888  4 Sm 3.50-3.80, 1 Tm 3.54, 4 Ho 3.56-3.69
Sm7 0.2324 0.4648 0.2196  3 Sm 3.15-3.49, 1 Ho 3.22
Sm8 0.5788 0.1576 0.2639  4 Sm 3.50-3.72, 4 Ho 3.53-3.79, 1 Tm 3.54, 1 Ac 3.90
Sm9 0.7680 0.5360 0.1299  2 Sm 3.15, 2 Ho 3.23-3.46
Sm10 0.0605 0.1209 0.0722  3 Ho 3.27-3.57, 1 Sm 3.49, 2 Ac 3.53
Ho1 0.8860 0.7720 0.9241  7 Sm 3.22-3.56, 1 Ho 3.55
Ho2 0.0619 0.1238 0.7771  3 Sm 3.27-3.57, 2 Ac 3.52, 1 Ho 3.55
Ho3 0.1140 0.2280 0.4241  7 Sm 3.22-3.56, 1 Ho 3.55
Ho4 0.9381 0.8762 0.2771  3 Sm 3.27-3.57, 2 Ac 3.52, 1 Ho 3.55
Tm1 0.7485 0.4970 0.4243  9 Sm 3.54-3.82, 3 Ho 3.72-3.76, 2 Ac 3.74
Tm2 0.2515 0.5030 0.9243  9 Sm 3.54-3.82, 3 Ho 3.72-3.76, 2 Ac 3.74

Output
energy of formation	0.0874	eV per atom



Record 2
Here is a relaxed CrIn2Ru crystal from Alexandria via LeMat-Bulk. Energies are from PBE.

Cell: 4.2124 3.1401 5.5795 Å, 73.58 90.00 90.00°
Last column: nearest neighbours and their distance in Å.
Sites, in units of the cell vectors:
Cr1 0.5000 0.5735 0.7295  2 Ru 2.38
In1 0.0000 0.9547 0.9650  3 Ru 2.84-2.98, 4 Cr 2.91, 6 In 3.13-3.14
In2 0.5000 0.2963 0.2829  3 Cr 2.86-2.96, 4 Ru 2.92, 6 In 3.13-3.14
Ru1 0.0000 0.6755 0.5226  2 Cr 2.38

Output
energy of formation	0.3110	eV per atom



Record 3
Here is a relaxed In8AgPb2 crystal from Alexandria via LeMat-Bulk. Energies are from PBE.

Cell: 4.7928 4.7928 13.2444 Å, 90.00 90.00 90.00°
Last column: nearest neighbours and their distance in Å.
Sites, in units of the cell vectors:
In1 0.0000 0.5000 0.5000  8 In 3.39-3.46, 4 Pb 3.43
In2 0.5000 0.0000 0.5000  8 In 3.39-3.46, 4 Pb 3.43
In3 0.5000 0.5000 0.3113  4 Pb 3.39, 8 In 3.39-3.46
In4 0.5000 0.5000 0.6887  4 Pb 3.39, 8 In 3.39-3.46
In5 0.0000 0.5000 0.1302  2 Ag 2.95
In6 0.5000 0.0000 0.1302  2 Ag 2.95
In7 0.0000 0.5000 0.8698  2 Ag 2.95
In8 0.5000 0.0000 0.8698  2 Ag 2.95
Ag1 0.0000 0.0000 0.0000  8 In 2.95
Pb1 0.0000 0.0000 0.3147  12 In 3.39-3.43
Pb2 0.0000 0.0000 0.6853  12 In 3.39-3.43

Output
energy of formation	0.0325	eV per atom



Record 4
Here is a relaxed Nb3SiC crystal from Alexandria via LeMat-Bulk. Energies are from PBE.

Cell: 3.4682 5.6135 7.6881 Å, 90.00 90.00 90.00°
Last column: nearest neighbours and their distance in Å.
Sites, in units of the cell vectors:
Nb1 0.7500 0.7500 0.0863  1 C 2.43, 2 Si 2.55
Nb2 0.2500 0.2500 0.9137  1 C 2.43, 2 Si 2.55
Nb3 0.7500 0.9995 0.6530  3 C 2.27-2.38
Nb4 0.7500 0.5005 0.6530  3 C 2.27-2.38
Nb5 0.2500 0.0005 0.3470  3 C 2.27-2.38
Nb6 0.2500 0.4995 0.3470  3 C 2.27-2.38
Si1 0.7500 0.2500 0.1572  6 Nb 2.55-2.66
Si2 0.2500 0.7500 0.8428  6 Nb 2.55-2.66
C1 0.7500 0.7500 0.4026  7 Nb 2.27-2.43
C2 0.2500 0.2500 0.5974  7 Nb 2.27-2.43



Record 5
Here is a relaxed Cu2Sb2As crystal from Alexandria via LeMat-Bulk. Energies are from PBE.

Cell: 4.3577 4.3577 6.3652 Å, 69.98 69.98 90.00°
Last column: nearest neighbours and their distance in Å.
Sites, in units of the cell vectors:
Sb1 0.7500 0.2500 0.5000  4 Cu 2.71
Sb2 0.2500 0.7500 0.5000  4 Cu 2.71
As1 0.0000 0.0000 0.0000  8 Cu 3.30, 8 Sb 3.54
Cu1 0.3943 0.3943 0.2115  1 Cu 2.36
Cu2 0.6057 0.6057 0.7885  1 Cu 2.36



Record 6
Here is a relaxed ReSi2O crystal from Alexandria via LeMat-Bulk. Energies are from PBE.

Cell: 5.5843 5.5843 5.1389 Å, 57.09 57.09 90.00°
Last column: nearest neighbours and their distance in Å.
Sites, in units of the cell vectors:
Re1 0.0000 0.0000 0.0000  4 Si 2.43
Re2 0.7500 0.2500 0.5000  4 Si 2.43
Si1 0.5516 0.1250 0.2500  2 O 1.90
Si2 0.1984 0.6250 0.2500  2 O 1.90
Si3 0.3750 0.4484 0.7500  2 O 1.90
Si4 0.8750 0.8016 0.7500  2 O 1.90
O1 0.5000 0.5000 0.0000  4 Si 1.90
O2 0.2500 0.7500 0.5000  4 Si 1.90



Record 7
Here is a relaxed Ce2Dy3YAs6 crystal from Alexandria via LeMat-Bulk. Energies are from PBE.

Cell: 4.1555 8.3033 9.2762 Å, 102.87 102.94 90.00°
Last column: nearest neighbours and their distance in Å.
Sites, in units of the cell vectors:
Ce1 0.8343 0.6685 0.6686  6 As 2.93-2.96
Ce2 0.1657 0.3315 0.3314  6 As 2.93-2.96
Dy1 0.5000 0.5000 0.0000  6 As 2.92-2.93
Dy2 0.8336 0.1657 0.6673  6 As 2.91-2.94
Dy3 0.1664 0.8343 0.3327  6 As 2.91-2.94
Y1 0.5000 0.0000 0.0000  6 As 2.93-2.94
As1 0.3334 0.9194 0.6667  3 Dy 2.91-2.94, 1 Y 2.93, 2 Ce 2.95
As2 0.6659 0.5857 0.3318  3 Dy 2.92-2.93, 3 Ce 2.96
As3 0.6666 0.0806 0.3333  3 Dy 2.91-2.94, 1 Y 2.93, 2 Ce 2.95
As4 0.9991 0.2501 0.9982  3 Dy 2.91-2.93, 1 Ce 2.93, 2 Y 2.94
As5 0.0009 0.7499 0.0018  3 Dy 2.91-2.93, 1 Ce 2.93, 2 Y 2.94
As6 0.3341 0.4143 0.6682  3 Dy 2.92-2.93, 3 Ce 2.96

Output
energy of formation	-1.5046	eV per atom



Record 8
Here is a relaxed Na3PdPt3O8 crystal from Alexandria via LeMat-Bulk. Energies are from PBE.

Cell: 6.1510 7.0784 6.0996 Å, 117.78 90.00 115.75°
Last column: nearest neighbours and their distance in Å.
Sites, in units of the cell vectors:
Na1 0.0000 0.0000 0.0000  2 O 2.30
Na2 0.0000 0.5000 0.0000  4 O 2.37
Na3 0.5000 0.5000 0.0000  4 O 2.37
Pd1 0.0000 0.0000 0.5000  4 O 2.04
Pt1 0.5000 0.0000 0.5000  4 O 2.03
Pt2 0.5000 0.5000 0.5000  6 O 2.02-2.06
Pt3 0.0000 0.5000 0.5000  6 O 2.02-2.06
O1 0.2107 0.4213 0.2453  2 Pt 2.06, 1 Na 2.30
O2 0.7893 0.5787 0.7547  2 Pt 2.06, 1 Na 2.30
O3 0.7210 0.4420 0.2594  2 Pt 2.02
O4 0.2790 0.5580 0.7406  2 Pt 2.02
O5 0.8181 0.1396 0.3962  2 Pt 2.03-2.04, 1 Pd 2.04
O6 0.1819 0.8604 0.6038  2 Pt 2.03-2.04, 1 Pd 2.04
O7 0.3216 0.1396 0.3962  2 Pt 2.03-2.04, 1 Pd 2.04
O8 0.6784 0.8604 0.6038  2 Pt 2.03-2.04, 1 Pd 2.04



Record 9
Here is a relaxed NaNdTiNbO6F crystal from Alexandria via LeMat-Bulk. Energies are from PBE.

Cell: 7.3631 7.3631 7.3631 Å, 121.25 117.91 90.75°
Last column: nearest neighbours and their distance in Å.
Sites, in units of the cell vectors:
Na1 0.5000 0.0000 0.0000  2 F 2.21
Na2 0.5000 0.5000 0.5000  2 F 2.21
Nd1 0.5000 0.0000 0.5000  2 F 2.31, 4 O 2.52
Nd2 0.0000 0.0000 0.0000  2 F 2.31, 4 O 2.52
Ti1 0.0000 0.5000 0.0000  6 O 1.98
Ti2 0.0000 0.0000 0.5000  6 O 1.98
Nb1 0.0000 0.5000 0.5000  6 O 2.01-2.02
Nb2 0.5000 0.5000 0.0000  6 O 2.01-2.02
O1 0.9220 0.1720 0.7500  2 Ti 1.98
O2 0.3171 0.5671 0.7500  2 Nb 2.02
O3 0.9376 0.5830 0.7659  1 Ti 1.98, 1 Nb 2.01
O4 0.3170 0.1717 0.7341  1 Ti 1.98, 1 Nb 2.01
O5 0.9376 0.1717 0.3547  1 Ti 1.98, 1 Nb 2.01
O6 0.3170 0.5830 0.1453  1 Ti 1.98, 1 Nb 2.01
O7 0.0780 0.8280 0.2500  2 Ti 1.98
O8 0.6829 0.4329 0.2500  2 Nb 2.02
O9 0.0624 0.4170 0.2341  1 Ti 1.98, 1 Nb 2.01
O10 0.6830 0.8283 0.2659  1 Ti 1.98, 1 Nb 2.01
O11 0.0624 0.8283 0.6453  1 Ti 1.98, 1 Nb 2.01
O12 0.6830 0.4170 0.8547  1 Ti 1.98, 1 Nb 2.01
F1 0.6226 0.8726 0.7500  2 Na 2.21, 2 Nd 2.31
F2 0.3774 0.1274 0.2500  2 Na 2.21, 2 Nd 2.31



Record 10
Here is a relaxed PmSbRh2 crystal from Alexandria via LeMat-Bulk. Energies are from PBE.

Cell: 6.0250 7.0953 7.6690 Å, 90.00 90.00 90.00°
Last column: nearest neighbours and their distance in Å.
Sites, in units of the cell vectors:
Pm1 0.3386 0.2500 0.0294  8 Rh 3.06-3.39, 3 Sb 3.20-3.35
Pm2 0.8386 0.7500 0.4706  8 Rh 3.06-3.39, 3 Sb 3.20-3.35
Pm3 0.6614 0.7500 0.9706  8 Rh 3.06-3.39, 3 Sb 3.20-3.35
Pm4 0.1614 0.2500 0.5294  8 Rh 3.06-3.39, 3 Sb 3.20-3.35
Sb1 0.6632 0.2500 0.3836  6 Rh 2.63-2.71
Sb2 0.1632 0.7500 0.1164  6 Rh 2.63-2.71
Sb3 0.3368 0.7500 0.6164  6 Rh 2.63-2.71
Sb4 0.8368 0.2500 0.8836  6 Rh 2.63-2.71
Rh1 0.9178 0.0487 0.1767  3 Sb 2.63-2.71, 1 Rh 2.86
Rh2 0.4178 0.9513 0.3233  3 Sb 2.63-2.71, 1 Rh 2.86
Rh3 0.0822 0.5487 0.8233  3 Sb 2.63-2.71, 1 Rh 2.86
Rh4 0.5822 0.4513 0.6767  3 Sb 2.63-2.71, 1 Rh 2.86
Rh5 0.0822 0.9513 0.8233  3 Sb 2.63-2.71, 1 Rh 2.86
Rh6 0.5822 0.0487 0.6767  3 Sb 2.63-2.71, 1 Rh 2.86
Rh7 0.9178 0.4513 0.1767  3 Sb 2.63-2.71, 1 Rh 2.86
Rh8 0.4178 0.5487 0.3233  3 Sb 2.63-2.71, 1 Rh 2.86



Record 11
Here is a relaxed Be2NiW crystal from Alexandria via LeMat-Bulk. Energies are from PBE.

Cell: 7.6046 7.6046 7.6046 Å, 20.35 20.35 20.35°
Last column: nearest neighbours and their distance in Å.
Sites, in units of the cell vectors:
Ni1 0.2500 0.2500 0.2500  6 Be 2.29
W1 0.7500 0.7500 0.7500  6 Be 2.56, 6 W 2.69
Be1 0.9920 0.9920 0.9920  3 Ni 2.29, 3 W 2.56
Be2 0.5080 0.5080 0.5080  3 Ni 2.29, 3 W 2.56

Output
energy of formation	0.2080	eV per atom



Number 1: theoretical density 8.05 g/cm³, final energy -40.54 eV per formula unit. Number 2: theoretical density 8.98 g/cm³, final energy -23.13 eV per formula unit. Number 3: theoretical density 7.86 g/cm³, final energy -31.82 eV per formula unit. Number 4: theoretical density 7.07 g/cm³, final energy -46.46 eV per formula unit. Number 5: theoretical density 6.99 g/cm³, final energy -18.74 eV per formula unit. Number 6: theoretical density 8.37 g/cm³, final energy -29.14 eV per formula unit. Number 7: theoretical density 7.14 g/cm³, final energy -78.09 eV per formula unit. Number 8: theoretical density 7.21 g/cm³, final energy -79.50 eV per formula unit. Number 9: theoretical density 4.95 g/cm³, final energy -88.13 eV per formula unit. Number 10: theoretical density 9.57 g/cm³, final energy -26.66 eV per formula unit. Number 11: theoretical density 9.29 g/cm³, final energy -25.36 eV per formula unit.